{
  "formula": "K3VSb2O9",
  "functional": "GGA+U",
  "state": "relaxed",
  "lattice_angstrom": [[-1.799, 1.843, 4.985], [-3.618, -0.578, -4.249], [-1.247, -6.470, 1.942]],
  "species": ["K", "K", "K", "V", "Sb", "Sb", "O", "O", "O", "O", "O", "O", "O", "O", "O"],
  "frac_coords": [[0.333, 0.667, 0.665], [0.000, 0.000, 0.000], [0.667, 0.333, 0.335], [0.000, 0.000, 0.500], [0.333, 0.667, 0.171], [0.667, 0.333, 0.829], [0.838, 0.162, 0.661], [0.838, 0.675, 0.661], [0.325, 0.162, 0.661], [0.675, 0.838, 0.339], [0.162, 0.325, 0.339], [0.162, 0.838, 0.339], [0.500, 0.000, 0.000], [0.000, 0.500, 0.000], [0.500, 0.500, 0.000]],
  "dft_energy_ev_per_atom": -5.82,
  "mass_density_g_cm3": 4.93,
  "volume_a3_per_cell": 187.3,
  "spacegroup": "P-3m1",
  "m_tot_mub_per_fu": 0.0
}